First-principles (PBE-GGA) data for crystalline Ho12Co2Hg5 at its relaxed geometry, as listed in Alexandria via LeMat-Bulk.

Unit cell a=7.469 b=9.002 c=9.572 alpha=105.82 beta=90.00 gamma=114.51
Fractional positions:
Hg 0.000 0.000 0.500
Hg 0.698 0.396 0.360
Hg 0.302 0.604 0.640
Hg 0.308 0.616 0.164
Hg 0.692 0.384 0.836
Ho 0.501 0.002 0.230
Ho 0.001 0.001 0.820
Ho 0.398 0.298 0.572
Ho 0.574 0.677 0.916
Ho 0.900 0.298 0.572
Ho 0.103 0.677 0.916
Ho 0.999 0.999 0.180
Ho 0.602 0.702 0.428
Ho 0.897 0.323 0.084
Ho 0.426 0.323 0.084
Ho 0.100 0.702 0.428
Ho 0.499 0.998 0.770
Co 0.710 0.000 0.000
Co 0.290 0.000 0.000

Results
raw total energy = -73.455 eV per cell
ΔH_f (0 K) = -0.15 eV/atom
total magnetic moment = 0.0 μB/cell
space group = C2/m, No. 12
calculated volume = 29.40 Å³/atom